1.
La3DyTm3Te8 (PBE, relaxed); formation energy without anion corrections = -1.437 eV/atom; Fermi-level density of states = 0.5160 states/eV per atom; size of the total moment = 0.0 μB/f.u.; space-group type = R-3m
1.0
4.3937 2.5367 7.3169
-4.3937 2.5367 7.3169
0.0000 -5.0734 7.3169
La Dy Tm Te
3 1 3 8
direct
0.0000 0.5000 0.5000
0.5000 0.0000 0.5000
0.5000 0.5000 0.0000
0.5000 0.5000 0.5000
0.0000 0.0000 0.5000
0.0000 0.5000 0.0000
0.5000 0.0000 0.0000
0.2346 0.7514 0.7514
0.2432 0.2432 0.2432
0.2486 0.2486 0.7654
0.2486 0.7654 0.2486
0.7514 0.2346 0.7514
0.7514 0.7514 0.2346
0.7568 0.7568 0.7568
0.7654 0.2486 0.2486

2.
CsTaFe2As (PBE, relaxed); energy of formation = 1951 meV per atom; Fermi-level density of states = 1.4839 states/eV per atom; size of the total moment = 0.1 μB/f.u.; space-group type = P4/mmm
1.0
4.6058 0.0000 0.0000
0.0000 4.6058 0.0000
0.0000 0.0000 5.9512
Cs Ta Fe As
1 1 2 1
direct
0.0000 0.0000 0.0000
0.0000 0.0000 0.5000
0.0000 0.5000 0.5000
0.5000 0.0000 0.5000
0.5000 0.5000 0.0000

3.
Pm4Dy15Tm (PBE, relaxed); energy of formation = 19 meV per atom; Fermi-level density of states = 1.3302 states/eV per atom; size of the total moment = 0.0 μB/f.u.; space-group type = P4/mmm
1.0
5.0371 0.0000 0.0000
0.0000 5.0371 0.0000
0.0000 0.0000 25.1441
Pm Dy Tm
4 15 1
direct
0.0000 0.0000 0.1004
0.0000 0.0000 0.3008
0.0000 0.0000 0.6992
0.0000 0.0000 0.8996
0.0000 0.5000 0.0000
0.0000 0.5000 0.2007
0.0000 0.5000 0.4016
0.0000 0.5000 0.5984
0.0000 0.5000 0.7993
0.5000 0.0000 0.0000
0.5000 0.0000 0.2007
0.5000 0.0000 0.4016
0.5000 0.0000 0.5984
0.5000 0.0000 0.7993
0.5000 0.5000 0.1002
0.5000 0.5000 0.3013
0.5000 0.5000 0.5000
0.5000 0.5000 0.6987
0.5000 0.5000 0.8998
0.0000 0.0000 0.5000

4.
V3ZnCu (PBE, relaxed); energy of formation = 1166 meV per atom; Fermi-level density of states = 0.9325 states/eV per atom; size of the total moment = 2.3 μB/f.u.; space-group type = Pm-3m; energy above the lowest structure with this stoichiometry = 0.0 meV/atom
1.0
4.4085 0.0000 0.0000
0.0000 4.4085 0.0000
0.0000 0.0000 4.4085
V Zn Cu
3 1 1
direct
0.0000 0.0000 0.5000
0.0000 0.5000 0.0000
0.5000 0.0000 0.0000
0.5000 0.5000 0.5000
0.0000 0.0000 0.0000

5.
ZrRh2Cl (PBE, relaxed); formation energy without anion corrections = -0.443 eV/atom; Fermi-level density of states = 0.7521 states/eV per atom; size of the total moment = 0.0 μB/f.u.; space-group type = P2/m; energy above the lowest structure with this stoichiometry = 0.0 meV/atom
1.0
3.3846 0.0000 0.0000
0.0000 3.1907 0.0000
-0.0197 0.0000 7.0855
Zr Rh Cl
1 2 1
direct
0.0000 0.0000 0.0000
0.4993 0.5000 0.7951
0.5007 0.5000 0.2049
0.5000 0.0000 0.5000

6.
La2NdNi (PBE, relaxed); energy of formation = -179 meV per atom; Fermi-level density of states = 1.2522 states/eV per atom; size of the total moment = 0.0 μB/f.u.; space-group type = Pnma; energy above the lowest structure with this stoichiometry = 0.0 meV/atom
1.0
7.1523 0.0000 0.0000
0.0000 10.2063 0.0000
0.0000 0.0000 6.5382
La Nd Ni
8 4 4
direct
0.1740 0.0679 0.1737
0.1740 0.4321 0.1737
0.3260 0.5679 0.6737
0.3260 0.9321 0.6737
0.6740 0.0679 0.3263
0.6740 0.4321 0.3263
0.8260 0.5679 0.8263
0.8260 0.9321 0.8263
0.0331 0.2500 0.6525
0.4669 0.7500 0.1525
0.5331 0.2500 0.8475
0.9669 0.7500 0.3475
0.1163 0.7500 0.9224
0.3837 0.2500 0.4224
0.6163 0.7500 0.5776
0.8837 0.2500 0.0776

7.
Sm2Ag3Hg4 (PBE, relaxed); energy of formation = -249 meV per atom; Fermi-level density of states = 0.5381 states/eV per atom; size of the total moment = 0.0 μB/f.u.; space-group type = Fmmm; energy above the lowest structure with this stoichiometry = 32.6 meV/atom
1.0
0.0000 4.9751 7.4335
2.7984 0.0000 7.4335
2.7984 4.9751 0.0000
Sm Ag Hg
2 3 4
direct
0.1308 0.1308 0.8692
0.8692 0.8692 0.1308
0.0000 0.0000 0.5000
0.5000 0.5000 0.0000
0.5000 0.5000 0.5000
0.1697 0.4876 0.5124
0.4876 0.1697 0.8303
0.5124 0.8303 0.1697
0.8303 0.5124 0.4876

8.
TmTh2P (PBE, relaxed); energy of formation = -311 meV per atom; Fermi-level density of states = 1.3411 states/eV per atom; size of the total moment = 0.0 μB/f.u.; space-group type = R-3m
1.0
1.8718 1.0807 10.2965
-1.8718 1.0807 10.2965
0.0000 -2.1614 10.2965
Tm Th P
1 2 1
direct
0.0000 0.0000 0.0000
0.1087 0.1087 0.1087
0.8913 0.8913 0.8913
0.5000 0.5000 0.5000

9.
NaSrCu2Si (PBE, relaxed); formation energy without anion corrections = 0.674 eV/atom; Fermi-level density of states = 0.5973 states/eV per atom; size of the total moment = 0.0 μB/f.u.; space-group type = P4/mmm
1.0
4.8673 0.0000 0.0000
0.0000 4.8673 0.0000
0.0000 0.0000 5.1136
Na Sr Cu Si
1 1 2 1
direct
0.0000 0.0000 0.0000
0.5000 0.5000 0.5000
0.0000 0.5000 0.0000
0.5000 0.0000 0.0000
0.0000 0.0000 0.5000

10.
MnTc2Rh (PBE, relaxed); energy of formation = 1 meV per atom; Fermi-level density of states = 0.9953 states/eV per atom; size of the total moment = 1.5 μB/f.u.; space-group type = Cmmm; energy above the lowest structure with this stoichiometry = 27.0 meV/atom
1.0
2.6652 -3.8820 0.0000
2.6652 3.8820 0.0000
0.0000 0.0000 2.6676
Mn Tc Rh
1 2 1
direct
0.0000 0.0000 0.0000
0.0000 0.5000 0.5000
0.5000 0.0000 0.5000
0.5000 0.5000 0.0000

11.
Be2SiAs (PBE, relaxed); formation energy without anion corrections = 0.512 eV/atom; Fermi-level density of states = 0.3535 states/eV per atom; size of the total moment = 0.0 μB/f.u.; space-group type = Cmmm; energy above the lowest structure with this stoichiometry = 339.0 meV/atom
1.0
2.7703 -3.4508 0.0000
2.7703 3.4508 0.0000
0.0000 0.0000 2.6902
Be Si As
2 1 1
direct
0.0000 0.5000 0.0000
0.5000 0.0000 0.0000
0.0000 0.0000 0.5000
0.5000 0.5000 0.5000

12.
Pr2ThBi3 (PBE, relaxed); energy of formation = -846 meV per atom; Fermi-level density of states = 0.4191 states/eV per atom; size of the total moment = 0.0 μB/f.u.; space-group type = Immm
1.0
-2.3174 3.2713 6.9244
2.3174 -3.2713 6.9244
2.3174 3.2713 -6.9244
Pr Th Bi
2 1 3
direct
0.1674 0.1674 0.0000
0.8326 0.8326 0.0000
0.5000 0.5000 0.0000
0.0000 0.5000 0.5000
0.3357 0.8357 0.5000
0.6643 0.1643 0.5000